[1]
A plane-wave DFT calculation with PBEsol was carried out for a relaxed structure of AcCrO3. Values from VASP.

* raw formation energy: -13.80 eV per formula unit
* DOS at the Fermi energy: 0.4 states/eV/f.u.

The structure in Quantum ESPRESSO input format:
```
&SYSTEM
  ibrav = 0, nat = 5, ntyp = 3
/
ATOMIC_SPECIES
Cr 52.00 Cr.upf
Ac 227.00 Ac.upf
O 16.00 O.upf
CELL_PARAMETERS angstrom
3.910 0.000 0.000
0.000 3.910 0.000
0.000 0.000 3.910
ATOMIC_POSITIONS angstrom
Cr 1.955 1.955 1.955
Ac 0.000 0.000 0.000
O 1.955 1.955 0.000
O 1.955 0.000 1.955
O 0.000 1.955 1.955
```

[2]
A plane-wave DFT calculation with PBEsol was carried out for a relaxed structure of ReSbCl3. Values from VASP.

* raw formation energy: 4.96 eV per formula unit
* DOS at the Fermi energy: 3.0 states/eV/f.u.

The structure in Quantum ESPRESSO input format:
```
&SYSTEM
  ibrav = 0, nat = 5, ntyp = 3
/
ATOMIC_SPECIES
Re 186.21 Re.upf
Cl 35.45 Cl.upf
Sb 121.76 Sb.upf
CELL_PARAMETERS angstrom
-0.537 -3.024 4.332
-1.307 -4.143 -3.054
5.119 -1.375 -0.326
ATOMIC_POSITIONS angstrom
Re 1.637 -4.271 0.476
Cl -0.654 -2.071 -1.527
Cl 2.559 -0.688 -0.163
Cl -0.268 -1.512 2.166
Sb 0.000 0.000 0.000
```

[3]
A plane-wave DFT calculation with PBEsol was carried out for a relaxed structure of Mn2HgSb. Values from VASP.

* raw formation energy: 1.21 eV per formula unit
* DOS at the Fermi energy: 3.4 states/eV/f.u.

The structure in Quantum ESPRESSO input format:
```
&SYSTEM
  ibrav = 0, nat = 4, ntyp = 3
/
ATOMIC_SPECIES
Hg 200.59 Hg.upf
Mn 54.94 Mn.upf
Sb 121.76 Sb.upf
CELL_PARAMETERS angstrom
-0.821 0.288 2.900
-0.274 -3.007 0.220
7.491 -0.524 2.173
ATOMIC_POSITIONS angstrom
Hg 5.521 -1.785 3.321
Mn 0.352 -0.025 0.102
Mn 0.964 -1.466 1.999
Sb 3.304 -0.231 0.959
```

[4]
A plane-wave DFT calculation with PBEsol was carried out for a relaxed structure of GaNi3. Values from VASP.

* formation energy from the elements: -1.28 eV per formula unit
* DOS at the Fermi energy: 4.0 states/eV/f.u.

The structure in Quantum ESPRESSO input format:
```
&SYSTEM
  ibrav = 0, nat = 4, ntyp = 2
/
ATOMIC_SPECIES
Ni 58.69 Ni.upf
Ga 69.72 Ga.upf
CELL_PARAMETERS angstrom
-0.725 3.334 -0.892
-2.818 -0.045 2.120
1.993 1.149 2.673
ATOMIC_POSITIONS angstrom
Ni 0.996 0.574 1.337
Ni -0.362 1.667 -0.446
Ni -1.409 -0.023 1.060
Ga -0.775 2.219 1.950
```

[5]
A plane-wave DFT calculation with PBEsol was carried out for a relaxed structure of NaCCl3. Values from VASP.

* raw formation energy: 6.18 eV per formula unit
* DOS at the Fermi energy: 5.6 states/eV/f.u.

The structure in Quantum ESPRESSO input format:
```
&SYSTEM
  ibrav = 0, nat = 5, ntyp = 3
/
ATOMIC_SPECIES
Na 22.99 Na.upf
C 12.01 C.upf
Cl 35.45 Cl.upf
CELL_PARAMETERS angstrom
5.030 0.000 0.000
0.000 5.030 0.000
0.000 0.000 5.030
ATOMIC_POSITIONS angstrom
Na 0.000 0.000 0.000
C 2.515 2.515 2.515
Cl 0.000 2.515 0.000
Cl 0.000 0.000 2.515
Cl 2.515 0.000 0.000
```

[6]
A plane-wave DFT calculation with PBEsol was carried out for a relaxed structure of As2SeBrCl. Values from VASP.

* raw formation energy: 5.62 eV per formula unit
* DOS at the Fermi energy: 5.1 states/eV/f.u.

The structure in Quantum ESPRESSO input format:
```
&SYSTEM
  ibrav = 0, nat = 5, ntyp = 4
/
ATOMIC_SPECIES
As 74.92 As.upf
Se 78.96 Se.upf
Br 79.90 Br.upf
Cl 35.45 Cl.upf
CELL_PARAMETERS angstrom
-1.970 3.014 3.497
-4.601 -2.218 -0.680
1.137 -3.473 3.633
ATOMIC_POSITIONS angstrom
As 0.569 -1.736 1.817
As -2.301 -1.109 -0.340
Se -0.985 1.507 1.748
Br 0.000 0.000 0.000
Cl -2.717 -1.339 3.225
```

[7]
A plane-wave DFT calculation with PBEsol was carried out for a relaxed structure of K3SbH. Values from VASP.

* E: -12.46 eV/cell
* DOS at the Fermi energy: 2.6 states/eV/f.u.

The structure in Quantum ESPRESSO input format:
```
&SYSTEM
  ibrav = 0, nat = 5, ntyp = 3
/
ATOMIC_SPECIES
Sb 121.76 Sb.upf
K 39.10 K.upf
H 1.01 H.upf
CELL_PARAMETERS angstrom
5.354 0.000 0.000
0.000 5.354 0.000
0.000 0.000 5.354
ATOMIC_POSITIONS angstrom
Sb 2.677 2.677 2.677
K 0.000 2.677 0.000
K 0.000 0.000 2.677
K 2.677 0.000 0.000
H 0.000 0.000 0.000
```

[8]
A plane-wave DFT calculation with PBEsol was carried out for a relaxed structure of Be3TeSe. Values from VASP.

* raw formation energy: 3.37 eV per formula unit
* DOS at the Fermi energy: 1.9 states/eV/f.u.

The structure in Quantum ESPRESSO input format:
```
&SYSTEM
  ibrav = 0, nat = 5, ntyp = 3
/
ATOMIC_SPECIES
Be 9.01 Be.upf
Te 127.60 Te.upf
Se 78.96 Se.upf
CELL_PARAMETERS angstrom
4.437 0.000 0.000
0.000 4.437 0.000
0.000 0.000 4.437
ATOMIC_POSITIONS angstrom
Be 0.000 2.218 0.000
Be 0.000 0.000 2.218
Be 2.218 0.000 0.000
Te 2.218 2.218 2.218
Se 0.000 0.000 0.000
```

[9]
A plane-wave DFT calculation with PBEsol was carried out for a relaxed structure of ErTmCu2. Values from VASP.

* formation energy from the elements: -1.08 eV per formula unit
* DOS at the Fermi energy: 2.0 states/eV/f.u.

The structure in Quantum ESPRESSO input format:
```
&SYSTEM
  ibrav = 0, nat = 4, ntyp = 3
/
ATOMIC_SPECIES
Tm 168.93 Tm.upf
Cu 63.55 Cu.upf
Er 167.26 Er.upf
CELL_PARAMETERS angstrom
-1.157 4.426 1.302
-2.092 0.773 4.201
2.403 2.157 3.492
ATOMIC_POSITIONS angstrom
Tm 0.000 0.000 0.000
Cu -0.635 5.517 6.746
Cu -0.212 1.839 2.249
Er -0.423 3.678 4.497
```

[10]
A plane-wave DFT calculation with PBEsol was carried out for a relaxed structure of Sr2CrCoN. Values from VASP.

* raw formation energy: 0.41 eV per formula unit
* DOS at the Fermi energy: 2.9 states/eV/f.u.

The structure in Quantum ESPRESSO input format:
```
&SYSTEM
  ibrav = 0, nat = 5, ntyp = 4
/
ATOMIC_SPECIES
Sr 87.62 Sr.upf
N 14.01 N.upf
Co 58.93 Co.upf
Cr 52.00 Cr.upf
CELL_PARAMETERS angstrom
3.520 0.000 0.000
0.000 5.427 0.000
0.000 0.000 5.427
ATOMIC_POSITIONS angstrom
Sr 0.000 0.000 2.713
Sr 0.000 2.713 0.000
N 0.000 0.000 0.000
Co 1.760 0.000 0.000
Cr 1.760 2.713 2.713
```

[11]
A plane-wave DFT calculation with PBEsol was carried out for a relaxed structure of LiReSnHg2. Values from VASP.

* formation energy from the elements: 5.77 eV per formula unit
* DOS at the Fermi energy: 2.6 states/eV/f.u.

The structure in Quantum ESPRESSO input format:
```
&SYSTEM
  ibrav = 0, nat = 5, ntyp = 4
/
ATOMIC_SPECIES
Re 186.21 Re.upf
Li 6.94 Li.upf
Hg 200.59 Hg.upf
Sn 118.71 Sn.upf
CELL_PARAMETERS angstrom
4.580 0.000 0.000
0.000 4.580 0.000
0.000 0.000 4.843
ATOMIC_POSITIONS angstrom
Re 2.290 2.290 2.421
Li 0.000 0.000 0.000
Hg 0.000 2.290 0.000
Hg 2.290 0.000 0.000
Sn 0.000 0.000 2.421
```

[12]
A plane-wave DFT calculation with PBEsol was carried out for a relaxed structure of HfTcSeN2. Values from VASP.

* raw formation energy: 1.04 eV per formula unit
* DOS at the Fermi energy: 2.9 states/eV/f.u.

The structure in Quantum ESPRESSO input format:
```
&SYSTEM
  ibrav = 0, nat = 5, ntyp = 4
/
ATOMIC_SPECIES
Hf 178.49 Hf.upf
Tc 98.00 Tc.upf
Se 78.96 Se.upf
N 14.01 N.upf
CELL_PARAMETERS angstrom
3.825 0.000 0.000
0.000 3.825 0.000
0.000 0.000 4.952
ATOMIC_POSITIONS angstrom
Hf 1.912 1.912 2.476
Tc 0.000 0.000 0.000
Se 0.000 0.000 2.476
N 0.000 1.912 0.000
N 1.912 0.000 0.000
```

[13]
A plane-wave DFT calculation with PBEsol was carried out for a relaxed structure of MnGePbO2. Values from VASP.

* raw formation energy: 2.20 eV per formula unit
* DOS at the Fermi energy: 3.5 states/eV/f.u.

The structure in Quantum ESPRESSO input format:
```
&SYSTEM
  ibrav = 0, nat = 5, ntyp = 4
/
ATOMIC_SPECIES
Pb 207.20 Pb.upf
Ge 72.64 Ge.upf
Mn 54.94 Mn.upf
O 16.00 O.upf
CELL_PARAMETERS angstrom
4.108 0.000 0.000
0.000 4.108 0.000
0.000 0.000 5.688
ATOMIC_POSITIONS angstrom
Pb 0.000 0.000 0.000
Ge 0.000 0.000 2.844
Mn 2.054 2.054 2.844
O 0.000 2.054 0.000
O 2.054 0.000 0.000
```

[14]
A plane-wave DFT calculation with PBEsol was carried out for a relaxed structure of Y5Si2B8. Values from VASP.

* raw formation energy: -11.17 eV per formula unit
* DOS at the Fermi energy: 4.2 states/eV/f.u.

The structure in Quantum ESPRESSO input format:
```
&SYSTEM
  ibrav = 0, nat = 30, ntyp = 3
/
ATOMIC_SPECIES
Y 88.91 Y.upf
Si 28.09 Si.upf
B 10.81 B.upf
CELL_PARAMETERS angstrom
-2.865 6.361 -1.747
-2.684 -2.864 -6.027
-6.698 -1.944 3.906
ATOMIC_POSITIONS angstrom
Y -3.937 3.379 -1.408
Y -8.310 -1.826 -2.461
Y -4.610 -0.752 -4.618
Y -5.673 2.823 -4.662
Y -9.373 1.749 -2.504
Y -7.637 2.305 0.750
Y -6.573 -1.270 0.794
Y -2.874 -0.196 -1.364
Y -3.349 -0.972 1.953
Y -6.123 0.777 -1.934
Si -5.331 -2.000 -1.958
Si -6.915 3.554 -1.910
Si -4.760 1.143 0.585
Si -7.486 0.410 -4.453
B -0.600 0.984 -0.539
B -4.949 2.514 -7.235
B -3.215 5.616 -2.717
B -2.386 0.539 -3.824
B -2.334 -2.119 -5.057
B -3.163 2.959 -3.950
B -3.350 1.506 -4.995
B -2.199 1.992 -2.779
B -1.842 -1.116 -3.715
B -3.706 4.614 -4.059
B -1.416 2.348 -1.260
B -4.133 1.149 -6.514
B -1.092 -0.317 0.637
B -5.605 -1.627 3.269
B -8.380 0.122 -0.618
B -3.867 1.432 -3.250
```